# 1
Compound: Ac2PbBr
Source: the Alexandria database
Functional: PBE-GGA
Structure: relaxed

Raw formation energy (eV per formula unit): -3.7
Offset from the most stable computed form (eV per atom): 0.000
Raw total energy (eV per cell): -52.02
Mass density (g/cm³): 8.21

abc: 4.9137 4.9137 21.5075
angles: 90.00 90.00 120.00
Last column: nearest neighbours and their distance in Å.
Space group R-3m (No. 166, hexagonal axes)
Unique sites:
Ac  0.0000  0.0000  0.2483 [6 per cell]  3 Pb 3.34, 3 Br 3.38
Pb  0.0000  0.0000  0.5000 [3 per cell]  6 Ac 3.34
Br  0.0000  0.0000  0.0000 [3 per cell]  6 Ac 3.38

# 2
Compound: Ac5Pb4Br
Source: the Alexandria database
Functional: PBE-GGA
Structure: relaxed

Raw formation energy (eV per formula unit): -6.7
Raw total energy (eV per cell): -87.57
Mass density (g/cm³): 8.57

abc: 10.7854 10.7854 6.8062
angles: 90.00 90.00 90.00
Last column: nearest neighbours and their distance in Å.
Space group I4/m (No. 87)
Unique sites:
Ac  0.0000  0.0000  0.0000 [2 per cell]  4 Pb 3.37, 2 Br 3.40
Ac  0.0976  0.6979  0.5000 [8 per cell]  5 Pb 3.40-3.44, 1 Br 3.42
Pb  0.1024  0.7045  0.0000 [8 per cell]  6 Ac 3.37-3.44
Br  0.0000  0.0000  0.5000 [2 per cell]  6 Ac 3.40-3.42

# 3
Compound: AcPbBr6
Source: the Alexandria database
Functional: PBE-GGA
Structure: relaxed

Raw formation energy (eV per formula unit): -9.9
Raw total energy (eV per cell): -83.17
Mass density (g/cm³): 4.85

abc: 7.2811 7.2811 20.4209
angles: 90.00 90.00 120.00
Last column: nearest neighbours and their distance in Å.
Space group R-3 (No. 148, hexagonal axes)
Unique sites:
Ac  0.0000  0.0000  0.0000 [3 per cell]  6 Br 3.06
Pb  0.0000  0.0000  0.5000 [3 per cell]  6 Br 2.93
Br  0.0041  0.6562  0.9151 [18 per cell]  1 Pb 2.93, 1 Ac 3.06

# 4
Compound: Ac2PbBr
Source: the Alexandria database
Functional: PBE-GGA
Structure: relaxed

Raw formation energy (eV per formula unit): -3.2
Offset from the most stable computed form (eV per atom): 0.139
Raw total energy (eV per cell): -16.78
Mass density (g/cm³): 9.03

abc: 4.0090 4.0090 8.4840
angles: 90.00 90.00 90.00
Last column: nearest neighbours and their distance in Å.
Space group P4/mmm (No. 123)
Unique sites:
Ac  0.0000  0.0000  0.2417 [2 per cell]  4 Pb 3.50, 4 Br 3.58
Pb  0.5000  0.5000  0.0000 [1 per cell]  8 Ac 3.50
Br  0.5000  0.5000  0.5000 [1 per cell]  8 Ac 3.58, 4 Br 4.01

# 5
Compound: Ac4Pb3Br
Source: the Alexandria database
Functional: PBE-GGA
Structure: relaxed

Raw formation energy (eV per formula unit): -5.9
Raw total energy (eV per cell): -70.22
Mass density (g/cm³): 8.51

abc: 6.7913 6.7913 13.6230
angles: 90.00 90.00 90.00
Last column: nearest neighbours and their distance in Å.
Space group I4/mmm (No. 139)
Unique sites:
Ac  0.0000  0.0000  0.2479 [4 per cell]  5 Pb 3.38-3.40, 1 Br 3.43
Ac  0.0000  0.5000  0.0000 [4 per cell]  2 Br 3.40, 4 Pb 3.40-3.41
Pb  0.0000  0.0000  0.0000 [2 per cell]  6 Ac 3.38-3.40
Pb  0.0000  0.5000  0.2500 [4 per cell]  6 Ac 3.40-3.41
Br  0.0000  0.0000  0.5000 [2 per cell]  6 Ac 3.40-3.43

# 6
Compound: Ac2PbBr
Source: the Alexandria database
Functional: PBE-GGA
Structure: relaxed

Raw formation energy (eV per formula unit): -3.5
Offset from the most stable computed form (eV per atom): 0.049
Raw total energy (eV per cell): -68.57
Mass density (g/cm³): 9.08

abc: 8.1535 8.1535 8.1535
angles: 90.00 90.00 90.00
Last column: nearest neighbours and their distance in Å.
Space group Fm-3m (No. 225)
Unique sites:
Ac  0.2500  0.2500  0.2500 [8 per cell]  4 Pb 3.53, 4 Br 3.53
Pb  0.0000  0.0000  0.0000 [4 per cell]  8 Ac 3.53
Br  0.0000  0.0000  0.5000 [4 per cell]  8 Ac 3.53